## LiAc2Gd (PBE)

Data for a geometry-optimized LiAc2Gd structure.

- electronic total energy (eV/atom) = -5.923
- space-group type = Fm-3m, No. 225
- excess energy over the best structure of this formula in the dataset (meV per atom) = 69

POSCAR file:
```
LiAc2Gd
1.0
8.3426 0.0000 0.0000
0.0000 8.3426 0.0000
0.0000 0.0000 8.3426
Li Ac Gd
4 8 4
Direct
0.0000 0.0000 0.0000
0.0000 0.5000 0.5000
0.5000 0.0000 0.5000
0.5000 0.5000 0.0000
0.2500 0.2500 0.2500
0.2500 0.2500 0.7500
0.2500 0.7500 0.2500
0.2500 0.7500 0.7500
0.7500 0.2500 0.2500
0.7500 0.2500 0.7500
0.7500 0.7500 0.2500
0.7500 0.7500 0.7500
0.0000 0.0000 0.5000
0.0000 0.5000 0.0000
0.5000 0.0000 0.0000
0.5000 0.5000 0.5000
```